AgH8C7S2O2F7: optimized geometry, PBE-GGA.

Cell: 10.1245 12.6757 8.5662 Å, 90.00 90.00 90.00°
With the nearest neighbours (Å) after each atom.
Space group Pca2_1 (No. 29)
Inequivalent atoms, fractional coordinates:
Ag: 0.2269 0.0313 0.0000  1 O 2.32, 3 S 2.45-2.49
H: 0.0038 0.1154 0.3079  1 C 1.10
H: 0.0153 0.0171 0.7356  1 C 1.10
H: 0.0476 0.7162 0.6005  1 C 1.09
H: 0.0813 0.2721 0.9575  1 C 1.09
H: 0.1144 0.2452 0.1604  1 C 1.09
H: 0.1223 0.8042 0.2629  1 C 1.09
H: 0.2207 0.7586 0.8307  1 C 1.09
H: 0.2481 0.7716 0.1247  1 C 1.09
C: 0.0320 0.3249 0.5589  2 F 1.37-1.38
C: 0.0414 0.2413 0.0667  3 H 1.09
C: 0.0449 0.9346 0.7203  2 H 1.10
C: 0.0959 0.2146 0.5813  2 O 1.24-1.27
C: 0.0978 0.5226 0.5276  3 F 1.35-1.36
C: 0.1343 0.4062 0.4998  2 F 1.36
C: 0.2288 0.8042 0.2407  3 H 1.09
S: 0.0006 0.1066 0.0279  2 C 1.79
S: 0.2212 0.9397 0.7480  2 C 1.79-1.80
O: 0.0982 0.1768 0.7154  1 C 1.24
O: 0.1405 0.1772 0.4543  1 C 1.27
F: 0.0214 0.6373 0.1950  1 C 1.37
F: 0.0270 0.4609 0.9787  1 C 1.35
F: 0.0695 0.6810 0.9518  1 C 1.38
F: 0.1080 0.5483 0.6803  1 C 1.35
F: 0.1537 0.3938 0.3439  1 C 1.36
F: 0.1807 0.5862 0.4465  1 C 1.36
F: 0.2499 0.3884 0.0758  1 C 1.36

**Electronic total energy**: -0.1969 hartree per atom